Record 1
DFT (SCAN) results for a PBEsol-optimized structure of MgF2.

Computed properties:
SG: P4_2/mnm (136)
Crystal system: tetragonal
Energy relative to the elements, uncorrected: -3.805 eV/atom
N(E_F): 0.0 states/eV/cell

```
data_MgF2
_space_group_name_H-M_alt 'P 1'
_space_group_IT_number 1
_space_group_name_Hall 'P 1'
_cell_length_a 4.634
_cell_length_b 4.634
_cell_length_c 3.063
_cell_angle_alpha 90.00
_cell_angle_beta 90.00
_cell_angle_gamma 90.00
loop_
_atom_site_label
_atom_site_fract_x
_atom_site_fract_y
_atom_site_fract_z
Mg1 0.000 0.000 0.000
Mg2 0.500 0.500 0.500
F1 0.197 0.197 0.500
F2 0.303 0.697 0.000
F3 0.697 0.303 0.000
F4 0.803 0.803 0.500
```

---

Record 2
DFT (SCAN) results for a PBEsol-optimized structure of Mg5Zn4.

Computed properties:
SG: P6_3/mcm (193)
Crystal system: hexagonal
Energy relative to the elements: -0.74 eV per formula unit
N(E_F): 7.3 states/eV/cell

```
data_Mg5Zn4
_space_group_name_H-M_alt 'P 1'
_space_group_IT_number 1
_space_group_name_Hall 'P 1'
_cell_length_a 8.141
_cell_length_b 8.141
_cell_length_c 5.716
_cell_angle_alpha 90.00
_cell_angle_beta 90.00
_cell_angle_gamma 120.00
loop_
_atom_site_label
_atom_site_fract_x
_atom_site_fract_y
_atom_site_fract_z
Mg1 0.000 0.294 0.250
Mg2 0.000 0.706 0.750
Mg3 0.294 0.000 0.250
Mg4 0.294 0.294 0.750
Mg5 0.333 0.667 0.000
Mg6 0.333 0.667 0.500
Mg7 0.667 0.333 0.000
Mg8 0.667 0.333 0.500
Mg9 0.706 0.000 0.750
Mg10 0.706 0.706 0.250
Zn1 0.000 0.000 0.000
Zn2 0.000 0.000 0.500
Zn3 0.000 0.371 0.750
Zn4 0.000 0.629 0.250
Zn5 0.371 0.000 0.750
Zn6 0.371 0.371 0.250
Zn7 0.629 0.000 0.250
Zn8 0.629 0.629 0.750
```

---

Record 3
DFT (SCAN) results for a PBEsol-optimized structure of Ta2FeSb.

Computed properties:
SG: Pmmm (47)
Crystal system: orthorhombic
Energy relative to the elements, uncorrected: 0.119 eV/atom
N(E_F): 2.0 states/eV/cell

```
data_Ta2FeSb
_space_group_name_H-M_alt 'P 1'
_space_group_IT_number 1
_space_group_name_Hall 'P 1'
_cell_length_a 3.009
_cell_length_b 3.956
_cell_length_c 5.576
_cell_angle_alpha 90.00
_cell_angle_beta 90.00
_cell_angle_gamma 90.00
loop_
_atom_site_label
_atom_site_fract_x
_atom_site_fract_y
_atom_site_fract_z
Ta1 0.000 0.000 0.231
Ta2 0.000 0.000 0.769
Fe1 0.500 0.500 0.000
Sb1 0.500 0.500 0.500
```